Li3Ca2TaO6: optimized geometry, GGA-PBE.

Structure (CIF):
```
data_Li3Ca2TaO6
_symmetry_space_group_name_H-M 'C 1 2/m 1'
_symmetry_Int_Tables_number 12
_cell_length_a 5.6050
_cell_length_b 10.1065
_cell_length_c 5.2625
_cell_angle_alpha 90.00
_cell_angle_beta 108.15
_cell_angle_gamma 90.00
loop_
_symmetry_equiv_pos_as_xyz
'x,y,z'
'-x,-y,-z'
'-x,y,-z'
'x,-y,z'
'x+1/2,y+1/2,z'
'-x+1/2,-y+1/2,-z'
'-x+1/2,y+1/2,-z'
'x+1/2,-y+1/2,z'
loop_
_atom_site_label
_atom_site_type_symbol
_atom_site_fract_x
_atom_site_fract_y
_atom_site_fract_z
Li1 Li 0.0000 0.0000 0.0000
Li2 Li 0.0000 0.3705 0.0000
Ca1 Ca 0.0000 0.1699 0.5000
Ta1 Ta 0.0000 0.5000 0.5000
O1 O 0.2121 0.3576 0.7331
O2 O 0.2301 0.5000 0.2691
```

Li2Ca2TaO6: optimized geometry, GGA-PBE.

Structure (CIF):
```
data_Li2Ca2TaO6
_symmetry_space_group_name_H-M 'P -3 1 m'
_symmetry_Int_Tables_number 162
_symmetry_space_group_name_Hall '-P 3 2'
_cell_length_a 5.2841
_cell_length_b 5.2841
_cell_length_c 5.3305
_cell_angle_alpha 90.00
_cell_angle_beta 90.00
_cell_angle_gamma 120.00
loop_
_atom_site_label
_atom_site_type_symbol
_atom_site_fract_x
_atom_site_fract_y
_atom_site_fract_z
Li1 Li 0.3333 0.6667 0.0000
Ca1 Ca 0.3333 0.6667 0.5000
Ta1 Ta 0.0000 0.0000 0.0000
O1 O 0.0000 0.3157 0.7850
```

Li2Ca2TcO6: optimized geometry, GGA-PBE.

Structure (CIF):
```
data_Li2Ca2TcO6
_symmetry_space_group_name_H-M 'C 1 2/m 1'
_symmetry_Int_Tables_number 12
_cell_length_a 5.7641
_cell_length_b 9.8698
_cell_length_c 5.2133
_cell_angle_alpha 90.00
_cell_angle_beta 104.18
_cell_angle_gamma 90.00
loop_
_symmetry_equiv_pos_as_xyz
'x,y,z'
'-x,-y,-z'
'-x,y,-z'
'x,-y,z'
'x+1/2,y+1/2,z'
'-x+1/2,-y+1/2,-z'
'-x+1/2,y+1/2,-z'
'x+1/2,-y+1/2,z'
loop_
_atom_site_label
_atom_site_type_symbol
_atom_site_fract_x
_atom_site_fract_y
_atom_site_fract_z
Li1 Li 0.0000 0.1236 0.0000
Ca1 Ca 0.0000 0.3373 0.5000
Tc1 Tc 0.0000 0.0000 0.5000
O1 O 0.1833 0.1437 0.7146
O2 O 0.2251 0.0000 0.2709
```

Li2CaTcO4: optimized geometry, GGA-PBE.

Structure (CIF):
```
data_Li2CaTcO4
_symmetry_space_group_name_H-M 'I m m a'
_symmetry_Int_Tables_number 74
_symmetry_space_group_name_Hall '-I 2b 2'
_cell_length_a 6.1820
_cell_length_b 6.3528
_cell_length_c 8.9771
_cell_angle_alpha 90.00
_cell_angle_beta 90.00
_cell_angle_gamma 90.00
loop_
_atom_site_label
_atom_site_type_symbol
_atom_site_fract_x
_atom_site_fract_y
_atom_site_fract_z
Li1 Li 0.0000 0.0000 0.0000
Li2 Li 0.2500 0.2500 0.2500
Ca1 Ca 0.0000 0.0000 0.5000
Tc1 Tc 0.2500 0.2500 0.7500
O1 O 0.0000 0.0240 0.7553
O2 O 0.2394 0.2500 0.9768
```

Li2Ca2TeO6: optimized geometry, GGA-PBE.

Structure (CIF):
```
data_Li2Ca2TeO6
_symmetry_space_group_name_H-M 'P -3 1 m'
_symmetry_Int_Tables_number 162
_symmetry_space_group_name_Hall '-P 3 2'
_cell_length_a 5.2529
_cell_length_b 5.2529
_cell_length_c 5.2694
_cell_angle_alpha 90.00
_cell_angle_beta 90.00
_cell_angle_gamma 120.00
loop_
_atom_site_label
_atom_site_type_symbol
_atom_site_fract_x
_atom_site_fract_y
_atom_site_fract_z
Li1 Li 0.3333 0.6667 0.0000
Ca1 Ca 0.3333 0.6667 0.5000
Te1 Te 0.0000 0.0000 0.0000
O1 O 0.0000 0.3109 0.7884
```

LiCaTe2O6: optimized geometry, GGA-PBE.

Structure (CIF):
```
data_LiCaTe2O6
_symmetry_space_group_name_H-M 'C 1 2/c 1'
_symmetry_Int_Tables_number 15
_cell_length_a 9.8567
_cell_length_b 10.7839
_cell_length_c 6.8442
_cell_angle_alpha 90.00
_cell_angle_beta 113.47
_cell_angle_gamma 90.00
loop_
_symmetry_equiv_pos_as_xyz
'x,y,z'
'-x,-y,-z'
'-x,y,-z+1/2'
'x,-y,z+1/2'
'x+1/2,y+1/2,z'
'-x+1/2,-y+1/2,-z'
'-x+1/2,y+1/2,-z+1/2'
'x+1/2,-y+1/2,z+1/2'
loop_
_atom_site_label
_atom_site_type_symbol
_atom_site_fract_x
_atom_site_fract_y
_atom_site_fract_z
Li1 Li 0.0000 0.2074 0.2500
Ca1 Ca 0.0000 0.0886 0.7500
Te1 Te 0.1723 0.3999 0.7217
O1 O 0.1168 0.0943 0.1481
O2 O 0.1321 0.2344 0.6186
O3 O 0.1519 0.4846 0.9953
```

| no. | density of states at the Fermi level (states/eV/f.u.) | E (eV/atom) |
| --- | --- | --- |
| 1 | 0.0 | -6.90 |
| 2 | 7.6 | -6.94 |
| 3 | 5.7 | -6.46 |
| 4 | 2.4 | -6.43 |
| 5 | 0.0 | -5.74 |
| 6 | 0.7 | -5.48 |